## Sm4PaSb5 (PBE)

Data for an optimized crystal structure of Sm4PaSb5.

Cell: 4.4519 4.4519 16.0281 Å, 97.98 97.98 90.00°
Each line ends with the local moment (μB).
Fractional coordinates of all 10 atoms:
Sm: 0.8000 0.8000 0.6000  0.00
Sm: 0.2000 0.2000 0.4000  0.00
Sb: 0.3001 0.3001 0.6002  0.00
Sb: 0.9018 0.9018 0.8037  -0.01
Sb: 0.5000 0.5000 0.0000  -0.03
Sb: 0.6999 0.6999 0.3998  0.00
Pa: 0.0000 0.0000 0.0000  0.86
Sb: 0.0982 0.0982 0.1963  -0.01
Sm: 0.6012 0.6012 0.2024  0.01
Sm: 0.3988 0.3988 0.7976  0.01

Computed properties:
Distance to the lowest polymorph of the same formula: 8 meV/atom
Total DFT energy (no corrections): -5.927 eV/atom
Density of states at the Fermi level: 0.68 states/eV/atom
Space-group type: I4/mmm, No. 139

=====

## Mg2Sc (PBE)

Data for an optimized crystal structure of Mg2Sc.

Cell: 6.3617 6.3617 7.3422 Å, 75.64 75.64 29.69°
Each line ends with the local moment (μB).
Fractional coordinates of all 6 atoms:
Sc: 0.2832 0.2832 0.9299  0.29
Mg: 0.6620 0.6620 0.6741  0.01
Sc: 0.9491 0.9491 0.6056  0.31
Mg: 0.3248 0.3248 0.3435  0.00
Mg: 0.9995 0.9995 0.0070  0.00
Mg: 0.6148 0.6148 0.2732  0.01

Computed properties:
Energy relative to the elements: 0.029 eV/atom
Total DFT energy (no corrections): -3.144 eV/atom
Density of states at the Fermi level: 1.08 states/eV/atom
Space-group type: Cm, No. 8

=====

## NbAg2Hg2 (PBE)

Data for an optimized crystal structure of NbAg2Hg2.

Cell: 8.1437 8.1437 3.0127 Å, 90.00 90.00 90.00°
Fractional coordinates of all 10 atoms:
Hg: 0.1390 0.3610 0.0000
Ag: 0.6615 0.8385 0.5000
Hg: 0.3610 0.8610 0.0000
Ag: 0.8385 0.3385 0.5000
Hg: 0.6390 0.1390 0.0000
Ag: 0.3385 0.1615 0.5000
Nb: 0.5000 0.5000 0.0000
Nb: 0.0000 0.0000 0.0000
Hg: 0.8610 0.6390 0.0000
Ag: 0.1615 0.6615 0.5000

Computed properties:
Energy relative to the elements: 0.437 eV/atom
Distance to the lowest polymorph of the same formula: 0 meV/atom
Total DFT energy (no corrections): -2.838 eV/atom
Density of states at the Fermi level: 0.68 states/eV/atom
Space-group type: P4/mbm, No. 127

=====

## Dy3ZrH8 (PBE)

Data for an optimized crystal structure of Dy3ZrH8.

Cell: 5.0759 5.0759 5.0759 Å, 90.00 90.00 90.00°
Fractional coordinates of all 12 atoms:
H: 0.2388 0.7612 0.7612
H: 0.2388 0.2388 0.7612
H: 0.7612 0.7612 0.2388
Dy: 0.5000 0.0000 0.5000
Dy: 0.0000 0.5000 0.5000
H: 0.7612 0.2388 0.7612
Zr: 0.0000 0.0000 0.0000
H: 0.2388 0.2388 0.2388
H: 0.2388 0.7612 0.2388
H: 0.7612 0.2388 0.2388
Dy: 0.5000 0.5000 0.0000
H: 0.7612 0.7612 0.7612

Computed properties:
Total DFT energy (no corrections): -4.772 eV/atom
Density of states at the Fermi level: 0.28 states/eV/atom
Space-group type: Pm-3m, No. 221

=====

## SrTc2As (PBE)

Data for an optimized crystal structure of SrTc2As.

Cell: 3.2170 3.2170 7.4787 Å, 90.00 90.00 90.00°
Fractional coordinates of all 4 atoms:
As: 0.5000 0.5000 0.2500
Tc: 0.0000 0.0000 0.0774
Tc: 0.0000 0.0000 0.4226
Sr: 0.5000 0.5000 0.7500

Computed properties:
Energy relative to the elements: 0.454 eV/atom
Total DFT energy (no corrections): -6.312 eV/atom
Density of states at the Fermi level: 1.45 states/eV/atom
Space-group type: P4/mmm, No. 123

=====

## Cs2NpO4 (PBE)

Data for an optimized crystal structure of Cs2NpO4.

Cell: 3.5852 7.2077 11.7303 Å, 90.00 90.00 90.00°
Each line ends with the local moment (μB).
Fractional coordinates of all 14 atoms:
Cs: 0.5000 0.5482 0.3262  0.00
Cs: 0.5000 0.9518 0.8262  0.00
O: 0.5000 0.3358 0.9508  -0.05
O: 0.0000 0.6176 0.8537  -0.04
O: 0.0000 0.3824 0.1463  -0.04
O: 0.5000 0.1642 0.4508  -0.05
Np: 0.0000 0.0000 0.5000  1.19
O: 0.0000 0.8824 0.3537  -0.04
O: 0.5000 0.8358 0.5492  -0.05
Cs: 0.5000 0.0482 0.1738  0.00
Np: 0.0000 0.5000 0.0000  1.19
Cs: 0.5000 0.4518 0.6738  0.00
O: 0.0000 0.1176 0.6463  -0.04
O: 0.5000 0.6642 0.0492  -0.05

Computed properties:
Distance to the lowest polymorph of the same formula: 58 meV/atom
Total DFT energy (no corrections): -7.315 eV/atom
Density of states at the Fermi level: 0.29 states/eV/atom
Space-group type: Pbam, No. 55

=====

## ScTi (PBE)

Data for an optimized crystal structure of ScTi.

Cell: 4.9989 4.9989 5.3516 Å, 90.00 90.00 120.00°
Each line ends with the local moment (μB).
Fractional coordinates of all 4 atoms:
Ti: 0.3333 0.6667 0.7500  1.04
Sc: 0.3333 0.6667 0.2500  0.37
Sc: 0.6667 0.3333 0.7500  0.37
Ti: 0.6667 0.3333 0.2500  1.04

Computed properties:
Energy relative to the elements: 1.473 eV/atom
Distance to the lowest polymorph of the same formula: 1388 meV/atom
Total DFT energy (no corrections): -5.641 eV/atom
Density of states at the Fermi level: 1.94 states/eV/atom
Space-group type: P6_3/mmc, No. 194

=====

## La2ScP3Rh12 (PBE)

Data for an optimized crystal structure of La2ScP3Rh12.

Cell: 6.7694 6.7694 6.7694 Å, 81.26 81.26 81.26°
Fractional coordinates of all 18 atoms:
Sc: 0.0000 0.0000 0.0000
Rh: 0.9169 0.3497 0.3497
Rh: 0.8255 0.8255 0.3416
Rh: 0.3497 0.3497 0.9169
Rh: 0.8255 0.3416 0.8255
La: 0.6168 0.6168 0.6168
Rh: 0.3416 0.8255 0.8255
Rh: 0.0831 0.6503 0.6503
Rh: 0.6503 0.6503 0.0831
P: 0.5000 0.0000 0.0000
Rh: 0.3497 0.9169 0.3497
Rh: 0.6584 0.1745 0.1745
Rh: 0.6503 0.0831 0.6503
P: 0.0000 0.0000 0.5000
Rh: 0.1745 0.1745 0.6584
P: 0.0000 0.5000 0.0000
Rh: 0.1745 0.6584 0.1745
La: 0.3832 0.3832 0.3832

Computed properties:
Energy relative to the elements: -0.385 eV/atom
Total DFT energy (no corrections): -7.087 eV/atom
Density of states at the Fermi level: 1.05 states/eV/atom
Space-group type: R-3m, No. 166

=====

What did the eighth record say?
## La2ScP3Rh12 (PBE)

Data for an optimized crystal structure of La2ScP3Rh12.

Cell: 6.7694 6.7694 6.7694 Å, 81.26 81.26 81.26°
Fractional coordinates of all 18 atoms:
Sc: 0.0000 0.0000 0.0000
Rh: 0.9169 0.3497 0.3497
Rh: 0.8255 0.8255 0.3416
Rh: 0.3497 0.3497 0.9169
Rh: 0.8255 0.3416 0.8255
La: 0.6168 0.6168 0.6168
Rh: 0.3416 0.8255 0.8255
Rh: 0.0831 0.6503 0.6503
Rh: 0.6503 0.6503 0.0831
P: 0.5000 0.0000 0.0000
Rh: 0.3497 0.9169 0.3497
Rh: 0.6584 0.1745 0.1745
Rh: 0.6503 0.0831 0.6503
P: 0.0000 0.0000 0.5000
Rh: 0.1745 0.1745 0.6584
P: 0.0000 0.5000 0.0000
Rh: 0.1745 0.6584 0.1745
La: 0.3832 0.3832 0.3832

Computed properties:
Energy relative to the elements: -0.385 eV/atom
Total DFT energy (no corrections): -7.087 eV/atom
Density of states at the Fermi level: 1.05 states/eV/atom
Space-group type: R-3m, No. 166

=====

Please write out number 2 again, unchanged.
## Mg2Sc (PBE)

Data for an optimized crystal structure of Mg2Sc.

Cell: 6.3617 6.3617 7.3422 Å, 75.64 75.64 29.69°
Each line ends with the local moment (μB).
Fractional coordinates of all 6 atoms:
Sc: 0.2832 0.2832 0.9299  0.29
Mg: 0.6620 0.6620 0.6741  0.01
Sc: 0.9491 0.9491 0.6056  0.31
Mg: 0.3248 0.3248 0.3435  0.00
Mg: 0.9995 0.9995 0.0070  0.00
Mg: 0.6148 0.6148 0.2732  0.01

Computed properties:
Energy relative to the elements: 0.029 eV/atom
Total DFT energy (no corrections): -3.144 eV/atom
Density of states at the Fermi level: 1.08 states/eV/atom
Space-group type: Cm, No. 8

=====

Number 3 is which compound? NbAg2Hg2

=====

Which of these has the highest density of states at the Fermi level? ScTi